Density functional theory data (PBE) for a relaxed structure of HgAs2Br.

Cell and atoms, written as POSCAR:
```
HgAs2Br
1.0
3.4574 -2.6108 0.0000
3.4574 2.6108 0.0000
-1.6569 0.0000 6.3848
Hg As Br
1 2 1
direct
0.0000 0.0000 0.0000
0.3550 0.3550 0.8469
0.6450 0.6450 0.1531
0.5000 0.5000 0.5000
```

Properties
**Uncorrected formation energy**: 191.9 meV per atom
**D(E_F)**: 3.14 states/eV per cell
**Space-group type**: C2/m
**Uncorrected energy**: -10.51 eV for the cell shown

Density functional theory data (PBE) for a relaxed structure of Pm3Sm2Ge4.

Cell and atoms, written as POSCAR:
```
Pm3Sm2Ge4
1.0
3.5766 -8.1458 0.0000
3.5766 8.1458 0.0000
0.0000 0.0000 8.4511
Pm Sm Ge
6 4 8
direct
0.0000 0.0000 0.0000
0.0461 0.4539 0.2500
0.4539 0.0461 0.7500
0.5000 0.5000 0.5000
0.5461 0.9539 0.2500
0.9539 0.5461 0.7500
0.1066 0.8934 0.4027
0.3934 0.6066 0.9027
0.6066 0.3934 0.0973
0.8934 0.1066 0.5973
0.1901 0.8099 0.0557
0.2246 0.2754 0.2500
0.2754 0.2246 0.7500
0.3099 0.6901 0.5557
0.6901 0.3099 0.4443
0.7246 0.7754 0.2500
0.7754 0.7246 0.7500
0.8099 0.1901 0.9443
```

Properties
**D(E_F)**: 10.87 states/eV per cell
**Space-group type**: Cmce
**Uncorrected energy**: -95.85 eV for the cell shown
**Formation energy from the elements**: -0.64 eV/atom

Density functional theory data (PBE) for a relaxed structure of SrCoSe2N.

Cell and atoms, written as POSCAR:
```
SrCoSe2N
1.0
5.8269 0.0000 0.0000
0.0000 5.8269 0.0000
0.0000 0.0000 4.7723
Sr Co Se N
1 1 2 1
direct
0.0000 0.0000 0.0000
0.5000 0.5000 0.5000
0.0000 0.5000 0.0000
0.5000 0.0000 0.0000
0.0000 0.0000 0.5000
```

Properties
**Uncorrected formation energy**: 1298.9 meV per atom
**D(E_F)**: 5.36 states/eV per cell
**Space-group type**: P4/mmm
**Uncorrected energy**: -17.59 eV for the cell shown

Density functional theory data (PBE) for a relaxed structure of Ac6P2S3I.

Cell and atoms, written as POSCAR:
```
Ac6P2S3I
1.0
9.5894 -2.1982 0.0000
9.5894 2.1982 0.0000
-1.9297 0.0000 8.6970
Ac P S I
6 2 3 1
direct
0.0031 0.0031 0.2800
0.3218 0.3218 0.9039
0.3313 0.3313 0.4202
0.6687 0.6687 0.5798
0.6782 0.6782 0.0961
0.9969 0.9969 0.7200
0.1666 0.1666 0.3321
0.8334 0.8334 0.6679
0.1624 0.1624 0.8337
0.5000 0.5000 0.5000
0.8376 0.8376 0.1663
0.5000 0.5000 0.0000
```

Properties
**Uncorrected formation energy**: -1659.5 meV per atom
**D(E_F)**: 4.64 states/eV per cell
**Space-group type**: C2/m
**Uncorrected energy**: -69.32 eV for the cell shown

Density functional theory data (PBE) for a relaxed structure of CuB2Cl8.

Cell and atoms, written as POSCAR:
```
CuB2Cl8
1.0
8.4290 -4.3993 0.0000
8.4290 4.3993 0.0000
-6.4538 0.0000 8.5015
Cu B Cl
2 4 16
direct
0.0335 0.9665 0.7500
0.9665 0.0335 0.2500
0.1461 0.6875 0.4571
0.3125 0.8539 0.0429
0.6875 0.1461 0.9571
0.8539 0.3125 0.5429
0.0818 0.1909 0.5029
0.0967 0.7177 0.2771
0.1890 0.7136 0.8638
0.1909 0.0818 0.0029
0.2425 0.4501 0.4285
0.2823 0.9033 0.2229
0.2864 0.8110 0.6362
0.4501 0.2425 0.9285
0.5499 0.7575 0.0715
0.7136 0.1890 0.3638
0.7177 0.0967 0.7771
0.7575 0.5499 0.5715
0.8091 0.9182 0.9971
0.8110 0.2864 0.1362
0.9033 0.2823 0.7229
0.9182 0.8091 0.4971
```

Properties
**Uncorrected formation energy**: -764.9 meV per atom
**D(E_F)**: 5.03 states/eV per cell
**Space-group type**: C2/c
**Uncorrected energy**: -81.28 eV for the cell shown

Density functional theory data (PBE) for a relaxed structure of FeCoBiIr2.

Cell and atoms, written as POSCAR:
```
FeCoBiIr2
1.0
4.4785 0.0000 0.0000
0.0000 4.4785 0.0000
0.0000 0.0000 4.8525
Fe Co Bi Ir
1 1 1 2
direct
0.0000 0.0000 0.0000
0.5000 0.5000 0.5000
0.0000 0.0000 0.5000
0.0000 0.5000 0.0000
0.5000 0.0000 0.0000
```

Properties
**D(E_F)**: 8.72 states/eV per cell
**Space-group type**: P4/mmm
**Uncorrected energy**: -29.82 eV for the cell shown
**Formation energy from the elements**: 1.47 eV/atom

Density functional theory data (PBE) for a relaxed structure of Nb2PH.

Cell and atoms, written as POSCAR:
```
Nb2PH
1.0
0.0000 2.9934 2.9934
2.9934 0.0000 2.9934
2.9934 2.9934 0.0000
Nb P H
2 1 1
direct
0.2500 0.2500 0.2500
0.7500 0.7500 0.7500
0.0000 0.0000 0.0000
0.5000 0.5000 0.5000
```

Properties
**D(E_F)**: 3.84 states/eV per cell
**Space-group type**: Fm-3m
**Uncorrected energy**: -29.22 eV for the cell shown

Density functional theory data (PBE) for a relaxed structure of NpCoGe2.

Cell and atoms, written as POSCAR:
```
NpCoGe2
1.0
1.4554 0.8403 8.8874
-1.4554 0.8403 8.8874
0.0000 -1.6805 8.8874
Np Co Ge
1 1 2
direct
0.0000 0.0000 0.0000
0.5000 0.5000 0.5000
0.2343 0.2343 0.2343
0.7657 0.7657 0.7657
```

Properties
**D(E_F)**: 4.52 states/eV per cell
**Space-group type**: R-3m
**Uncorrected energy**: -29.20 eV for the cell shown
**Formation energy from the elements**: 0.02 eV/atom